No. 1
## NaErMnI6 (GGA-PBE)

Data for NaErMnI6 after structural relaxation.

Cell: 7.553 7.553 14.537 Å, 90.00 90.00 120.00°
Site moments in Bohr magnetons follow the coordinates.
Atoms (fractional coordinates):
Mn (0.667, 0.333, 0.250)  4.35
Mn (0.333, 0.667, 0.750)  4.35
Er (0.667, 0.333, 0.750)  0.01
Er (0.333, 0.667, 0.250)  0.01
I (0.648, 0.638, 0.133)  0.03
I (0.010, 0.648, 0.867)  0.03
I (0.362, 0.352, 0.367)  0.03
I (0.638, 0.648, 0.633)  0.03
I (0.352, 0.990, 0.633)  0.03
I (0.352, 0.362, 0.867)  0.03
I (0.990, 0.638, 0.367)  0.03
I (0.990, 0.352, 0.133)  0.03
I (0.648, 0.010, 0.367)  0.03
I (0.010, 0.362, 0.633)  0.03
I (0.362, 0.010, 0.133)  0.03
I (0.638, 0.990, 0.867)  0.03
Na (0.000, 0.000, 0.000)  0.00
Na (0.000, 0.000, 0.500)  0.00

total moment = 10.00 μB/cell
space group = P-31c
ΔE_f (raw) = -1016 meV/atom

=====

No. 2
## MoH2N (GGA-PBE)

Data for MoH2N after structural relaxation.

Cell: 3.342 3.342 3.342 Å, 60.00 60.00 60.00°
Atoms (fractional coordinates):
H (0.750, 0.750, 0.750)
H (0.250, 0.250, 0.250)
Mo (0.500, 0.500, 0.500)
N (0.000, 0.000, 0.000)

total moment = 0.00 μB/cell
space group = Fm-3m
relative energy among the computed polymorphs = 715 meV per atom

=====

No. 3
## SrLa3Ru (GGA-PBE)

Data for SrLa3Ru after structural relaxation.

Cell: 6.416 6.416 10.323 Å, 71.89 71.89 90.00°
Atoms (fractional coordinates):
Ru (0.250, 0.750, 0.500)
Ru (0.000, 0.000, 0.000)
La (0.122, 0.871, 0.757)
La (0.280, 0.280, 0.441)
La (0.628, 0.878, 0.243)
La (0.122, 0.372, 0.757)
La (0.129, 0.878, 0.243)
La (0.720, 0.720, 0.559)
Sr (0.940, 0.440, 0.120)
Sr (0.560, 0.060, 0.880)

total moment = 0.00 μB/cell
calculated formation energy = 0.88 eV per formula unit
space group = I-4m2
relative energy among the computed polymorphs = 354 meV per atom